DFT (PBE) results for a relaxed structure of NaInPb4.

Its space group is C2/m (12). For the total energy, the calculation gives -3.174 eV/atom. Its formation energy is -0.026 eV per atom.

a b c (Å): 6.1001 6.1001 5.7971
angles (deg): 90.06 90.06 57.07
Positions (direct):
Na 0.0000 0.0000 0.0000
In 0.5000 0.5000 0.5000
Pb 0.1665 0.1665 0.4992
Pb 0.3313 0.3313 0.9994
Pb 0.6687 0.6687 0.0006
Pb 0.8335 0.8335 0.5008



DFT (PBE) results for a relaxed structure of CaDy2Cu6.

Its space group is P6/mmm (191). For the total energy, the calculation gives -4.181 eV/atom. Its formation energy is -0.205 eV per atom.

a b c (Å): 7.3214 7.3214 3.6403
angles (deg): 90.00 90.00 120.00
Positions (direct):
Ca 0.0000 0.0000 0.0000
Dy 0.3333 0.6667 0.0000
Dy 0.6667 0.3333 0.0000
Cu 0.0000 0.3351 0.5000
Cu 0.0000 0.6649 0.5000
Cu 0.3351 0.0000 0.5000
Cu 0.3351 0.3351 0.5000
Cu 0.6649 0.0000 0.5000
Cu 0.6649 0.6649 0.5000



DFT (PBE) results for a relaxed structure of NpTePdS.

As for the formation energy from raw total energies: -812 meV per atom. Its space group is P4/nmm (129). For the total energy, the calculation gives -7.162 eV/atom.

a b c (Å): 4.4072 4.4072 8.8411
angles (deg): 90.00 90.00 90.00
Positions (direct):
Np 0.2500 0.2500 0.1816
Np 0.7500 0.7500 0.8184
Te 0.2500 0.2500 0.6822
Te 0.7500 0.7500 0.3178
Pd 0.2500 0.7500 0.5000
Pd 0.7500 0.2500 0.5000
S 0.2500 0.7500 0.0000
S 0.7500 0.2500 0.0000



DFT (PBE) results for a relaxed structure of CeGaHg3.

Its space group is P2_1/m (11). For the total energy, the calculation gives -2.177 eV/atom. Its formation energy is -0.204 eV per atom.

a b c (Å): 6.0189 6.5649 6.1209
angles (deg): 90.00 95.35 90.00
Positions (direct):
Ce 0.1673 0.2500 0.1813
Ce 0.8327 0.7500 0.8187
Ga 0.0457 0.7500 0.3385
Ga 0.9543 0.2500 0.6615
Hg 0.3205 0.5054 0.6497
Hg 0.3205 0.9946 0.6497
Hg 0.3525 0.7500 0.0565
Hg 0.6475 0.2500 0.9435
Hg 0.6795 0.0054 0.3503
Hg 0.6795 0.4946 0.3503



DFT (PBE) results for a relaxed structure of LiCuPO2.

As for the formation energy from raw total energies: 125 meV per atom. Its space group is P4/mmm (123). For the total energy, the calculation gives -4.143 eV/atom.

a b c (Å): 3.7927 3.7927 4.6326
angles (deg): 90.00 90.00 90.00
Positions (direct):
Li 0.0000 0.0000 0.0000
Cu 0.5000 0.5000 0.5000
P 0.5000 0.5000 0.0000
O 0.0000 0.5000 0.5000
O 0.5000 0.0000 0.5000



DFT (PBE) results for a relaxed structure of Cs2YMg.

Its space group is I-42d (122). For the total energy, the calculation gives -1.717 eV/atom. Its formation energy is 0.725 eV per atom.

a b c (Å): 10.3110 10.3110 10.3110
angles (deg): 95.28 95.28 144.68
Positions (direct):
Cs 0.3750 0.2416 0.3666
Cs 0.7584 0.1250 0.1334
Cs 0.8750 0.0084 0.6334
Cs 0.9916 0.6250 0.8666
Y 0.2500 0.7500 0.5000
Y 0.5000 0.5000 0.0000
Mg 0.0000 0.0000 0.0000
Mg 0.7500 0.2500 0.5000